1.
The following is a PBE calculation of crystalline RbPdCl5 at its relaxed geometry, from Alexandria via LeMat-Bulk.

Structure (extended XYZ):
```
14
Lattice="6.892 -0.553 -1.941 -3.289 6.380 -0.252 -1.063 -0.008 10.027" Properties=species:S:1:pos:R:3 pbc="T T T"
Cl 4.784 0.109 2.711
Cl 2.749 3.522 7.513
Cl 2.689 2.015 4.353
Cl -1.848 6.213 1.779
Cl 4.388 -0.395 6.055
Cl -2.244 5.710 5.122
Cl 0.818 0.372 8.710
Cl -0.208 2.297 0.321
Cl -0.148 3.803 3.481
Cl 1.723 5.447 -0.877
Pd 0.000 0.000 0.000
Pd 2.915 -0.281 4.043
Rb -0.713 3.054 6.905
Rb 3.254 2.764 0.928
```

Results
Space group = C2/c, No. 15
Magnetization = 0.072 μB/atom



2.
The following is a PBE calculation of crystalline RbPdCl3 at its relaxed geometry, from Alexandria via LeMat-Bulk.

Structure (extended XYZ):
```
20
Lattice="7.979 0.000 0.000 0.000 9.856 0.000 0.000 0.000 8.390" Properties=species:S:1:pos:R:3 pbc="T T T"
Cl 2.103 2.464 6.981
Cl 3.023 4.030 3.064
Cl 4.956 5.826 5.326
Cl 0.967 5.826 7.259
Cl 7.012 4.030 1.131
Cl 5.876 7.392 1.409
Cl 7.012 0.898 1.131
Cl 4.956 8.958 5.326
Cl 6.092 2.464 5.604
Cl 3.023 0.898 3.064
Cl 0.967 8.958 7.259
Cl 1.887 7.392 2.786
Rb 3.989 0.000 0.000
Rb 3.989 4.928 0.000
Rb 0.000 4.928 4.195
Rb 0.000 0.000 4.195
Pd 7.727 7.392 8.328
Pd 0.251 2.464 0.063
Pd 3.738 7.392 4.258
Pd 4.241 2.464 4.133
```

Results
Space group = Pnma, No. 62
Magnetization = 0.000 μB/atom



3.
The following is a PBE calculation of crystalline RbPdCl at its relaxed geometry, from Alexandria via LeMat-Bulk.

Structure (extended XYZ):
```
6
Lattice="11.730 0.000 0.000 0.834 2.641 -2.569 -0.834 2.641 2.569" Properties=species:S:1:pos:R:3 pbc="T T T"
Cl 5.760 2.641 2.435
Cl 11.205 2.641 -1.473
Pd 3.785 2.641 0.375
Pd 5.130 2.641 -1.882
Rb 8.370 2.641 0.447
Rb 0.495 2.641 1.703
```

Results
E above lowest polymorph = 17 meV/atom
Space group = Cm, No. 8
Magnetization = 0.000 μB/atom



4.
The following is a PBE calculation of crystalline RbPd4Cl12 at its relaxed geometry, from Alexandria via LeMat-Bulk.

Structure (extended XYZ):
```
17
Lattice="-3.981 5.896 3.851 -1.594 -7.093 3.548 7.951 1.453 0.329" Properties=species:S:1:pos:R:3 pbc="T T T"
Pd -1.990 2.948 1.925
Pd -0.797 -3.546 1.774
Pd 1.188 0.128 3.864
Pd 3.976 0.727 0.165
Cl 2.242 -1.745 5.038
Cl -0.471 -1.447 2.991
Cl 5.190 -2.516 3.504
Cl 1.694 4.889 4.333
Cl -2.661 -1.917 5.898
Cl 2.847 1.703 4.737
Cl 0.682 -4.632 3.396
Cl 2.692 -0.300 1.980
Cl 5.038 2.173 1.831
Cl -0.316 0.557 5.748
Cl -2.814 2.772 4.225
Cl 0.134 2.001 2.690
Rb 0.000 0.000 0.000
```

Results
Space group = Im-3, No. 204
Magnetization = 0.000 μB/atom



Table of formation energy from raw total energies (kJ per mole of atoms), in record order: -73.8; -79.1; -75.5; -51.2